1.
The following is a PBE calculation of a relaxed structure of Li2MgCl, from Alexandria via LeMat-Bulk.

a = 5.7935 Å, b = 5.7935 Å, c = 5.7935 Å
α = 147.18°, β = 112.78°, γ = 76.85°
Closest atoms and distances in Å follow each position.
Fractional positions:
Cl: 0.7500 0.2500 0.5000  4 Li 2.37
Li: 0.9394 0.9394 0.0000  2 Cl 2.37
Li: 0.5606 0.5606 0.0000  2 Cl 2.37
Mg: 0.2500 0.7500 0.5000  8 Li 3.26-3.64, 2 Mg 3.27, 4 Cl 3.60

## Properties
Fermi-level density of states, states/eV per atom: 0.244
E_form (uncorrected), meV per atom: -611
SG: Immm

---

2.
The following is a PBE calculation of a relaxed structure of Li2MgCl4, from Alexandria via LeMat-Bulk.

a = 3.8143 Å, b = 6.5353 Å, c = 8.0599 Å
α = 126.09°, β = 103.69°, γ = 90.00°
Closest atoms and distances in Å follow each position.
Fractional positions:
Li: 0.6719 0.7503 0.3438  4 Cl 2.35-2.46
Li: 0.3281 0.2497 0.6562  4 Cl 2.35-2.46
Mg: 0.0000 0.0000 0.0000  6 Cl 2.54-2.56
Cl: 0.8657 0.1005 0.7314  3 Li 2.37-2.46, 1 Mg 2.56
Cl: 0.1343 0.8995 0.2686  3 Li 2.37-2.46, 1 Mg 2.56
Cl: 0.6036 0.3154 0.2071  1 Li 2.35, 2 Mg 2.54
Cl: 0.3964 0.6846 0.7929  1 Li 2.35, 2 Mg 2.54

## Properties
Fermi-level density of states, states/eV per atom: 0.000
E_form (uncorrected), meV per atom: -1814
SG: C2/m